VASP calculation (PBE) on crystalline La2MoCl at its relaxed geometry.

Structure (extended XYZ):
```
4
Lattice="-3.287 3.214 -2.352 -2.910 -1.693 -3.916 -5.091 -0.593 0.634" Properties=species:S:1:pos:R:3 pbc="T T T"
La 0.000 0.000 0.000
La -2.822 0.232 -1.409
Cl -5.643 0.464 -2.817
Mo -8.465 0.696 -4.226
```

## Properties
total energy	-5.212	eV per atom
excess energy over the best structure of this formula in the dataset	908	meV per atom
raw formation energy	0.4215	eV/atom
crystal system	cubic



VASP calculation (PBE) on crystalline LaMoCl2 at its relaxed geometry.

Structure (extended XYZ):
```
4
Lattice="3.219 0.000 0.000 0.000 4.722 0.000 0.000 0.000 5.885" Properties=species:S:1:pos:R:3 pbc="T T T"
La 0.000 0.000 2.765
Cl 1.609 2.361 1.973
Cl 0.000 0.000 5.580
Mo 1.609 2.361 4.395
```

## Properties
total energy	-5.158	eV per atom
excess energy over the best structure of this formula in the dataset	339	meV per atom
raw formation energy	-0.2951	eV/atom
crystal system	orthorhombic



VASP calculation (PBE) on crystalline LaMoCl2 at its relaxed geometry.

Structure (extended XYZ):
```
4
Lattice="7.444 0.080 0.004 5.433 5.089 -0.004 -6.194 -3.193 2.618" Properties=species:S:1:pos:R:3 pbc="T T T"
Cl 4.141 -0.146 1.311
Cl 0.417 0.167 0.000
Mo 2.985 2.298 1.307
La 5.579 2.239 0.000
```

## Properties
total energy	-5.245	eV per atom
excess energy over the best structure of this formula in the dataset	252	meV per atom
raw formation energy	-0.3819	eV/atom
crystal system	orthorhombic



VASP calculation (PBE) on crystalline LaMo2Cl at its relaxed geometry.

Structure (extended XYZ):
```
4
Lattice="-1.005 5.294 3.448 -4.103 4.275 2.410 0.261 -3.484 2.641" Properties=species:S:1:pos:R:3 pbc="T T T"
Cl -1.212 1.521 2.125
Mo -2.272 2.655 4.178
Mo 0.109 -3.096 2.713
La -3.635 4.564 6.375
```

## Properties
total energy	-7.091	eV per atom
excess energy over the best structure of this formula in the dataset	198	meV per atom
raw formation energy	0.0184	eV/atom
crystal system	monoclinic



VASP calculation (PBE) on crystalline LaMo2Cl at its relaxed geometry.

Structure (extended XYZ):
```
4
Lattice="0.227 4.185 -0.185 -0.630 2.439 3.355 7.168 2.501 2.969" Properties=species:S:1:pos:R:3 pbc="T T T"
Mo 0.718 2.064 1.192
Mo 0.052 6.521 3.229
Cl 3.679 4.823 3.269
La 5.296 6.904 4.687
```

## Properties
total energy	-7.036	eV per atom
excess energy over the best structure of this formula in the dataset	253	meV per atom
raw formation energy	0.0732	eV/atom
crystal system	monoclinic



VASP calculation (PBE) on crystalline LaMoCl2 at its relaxed geometry.

Structure (extended XYZ):
```
8
Lattice="-4.317 0.038 -1.832 1.762 -1.200 -4.178 -2.239 -9.248 -0.921" Properties=species:S:1:pos:R:3 pbc="T T T"
Cl -2.581 -7.410 -3.078
Cl -0.136 -3.056 -3.129
Cl -2.899 -2.439 -1.839
Cl -3.972 -7.914 -5.815
Mo -0.877 -5.514 -4.051
Mo -1.278 -0.581 -3.005
La 0.000 0.000 0.000
La -3.917 -4.895 -2.879
```

## Properties
total energy	-5.256	eV per atom
excess energy over the best structure of this formula in the dataset	241	meV per atom
raw formation energy	-0.3933	eV/atom
crystal system	tetragonal



VASP calculation (PBE) on crystalline LaMo2Cl at its relaxed geometry.

Structure (extended XYZ):
```
4
Lattice="-1.253 -2.530 1.595 -0.221 -1.687 -2.850 7.103 -3.700 -0.289" Properties=species:S:1:pos:R:3 pbc="T T T"
Mo 0.730 -2.799 -0.570
Mo 0.294 -0.227 -0.130
Cl 3.415 -2.350 -1.045
La 4.631 -5.234 -1.368
```

## Properties
total energy	-7.289	eV per atom
excess energy over the best structure of this formula in the dataset	0	meV per atom
raw formation energy	-0.1800	eV/atom
crystal system	orthorhombic



VASP calculation (PBE) on crystalline LaMoCl2 at its relaxed geometry.

Structure (extended XYZ):
```
4
Lattice="-0.186 5.074 0.996 -4.475 2.560 -0.437 -2.422 1.718 4.237" Properties=species:S:1:pos:R:3 pbc="T T T"
La -3.541 4.676 2.398
Cl -5.312 7.014 3.597
Cl 0.000 0.000 0.000
Mo -1.771 2.338 1.199
```

## Properties
total energy	-4.858	eV per atom
excess energy over the best structure of this formula in the dataset	639	meV per atom
raw formation energy	0.0049	eV/atom
crystal system	cubic



VASP calculation (PBE) on crystalline NaLaMoCl2 at its relaxed geometry.

Structure (extended XYZ):
```
5
Lattice="4.822 0.000 0.000 0.000 6.461 0.000 0.000 0.000 4.822" Properties=species:S:1:pos:R:3 pbc="T T T"
Mo 2.411 3.231 2.411
Na 0.000 0.000 0.000
Cl 2.411 0.000 0.000
Cl 0.000 0.000 2.411
La 0.000 3.231 0.000
```

## Properties
total energy	-3.892	eV per atom
raw formation energy	0.2619	eV/atom
crystal system	tetragonal



VASP calculation (PBE) on crystalline LaMoP2Cl at its relaxed geometry.

Structure (extended XYZ):
```
5
Lattice="4.681 0.000 0.000 0.000 4.681 0.000 0.000 0.000 4.928" Properties=species:S:1:pos:R:3 pbc="T T T"
Cl 0.000 0.000 2.464
La 2.341 2.341 2.464
Mo 0.000 0.000 0.000
P 0.000 2.341 0.000
P 2.341 0.000 0.000
```

## Properties
total energy	-6.267	eV per atom
excess energy over the best structure of this formula in the dataset	0	meV per atom
raw formation energy	-0.5816	eV/atom
crystal system	tetragonal



VASP calculation (PBE) on crystalline LaMoP2Cl at its relaxed geometry.

Structure (extended XYZ):
```
5
Lattice="5.554 0.000 0.000 0.000 5.554 0.000 0.000 0.000 5.317" Properties=species:S:1:pos:R:3 pbc="T T T"
Mo 2.777 2.777 2.659
La 0.000 0.000 0.000
P 0.000 2.777 0.000
P 2.777 0.000 0.000
Cl 0.000 0.000 2.659
```

## Properties
total energy	-4.918	eV per atom
excess energy over the best structure of this formula in the dataset	1348	meV per atom
raw formation energy	0.7666	eV/atom
crystal system	tetragonal



VASP calculation (PBE) on crystalline Rb2LaMoCl6 at its relaxed geometry.

Structure (extended XYZ):
```
10
Lattice="7.457 0.000 0.000 0.000 7.457 0.000 3.729 3.729 5.272" Properties=species:S:1:pos:R:3 pbc="T T T"
Rb 7.457 3.729 2.636
Rb 3.729 7.457 2.636
Cl 1.968 1.968 0.000
Cl 3.729 3.729 2.490
Cl 5.489 1.968 0.000
Cl 1.968 5.489 0.000
Cl 7.457 7.457 2.782
Cl 5.489 5.489 0.000
Mo 3.729 3.729 0.000
La 0.000 0.000 0.000
```

## Properties
total energy	-4.364	eV per atom
raw formation energy	-1.4866	eV/atom
crystal system	cubic



VASP calculation (PBE) on crystalline LaMoSCl2 at its relaxed geometry.

Structure (extended XYZ):
```
5
Lattice="4.805 0.000 0.000 0.000 4.805 0.000 0.000 0.000 4.761" Properties=species:S:1:pos:R:3 pbc="T T T"
Mo 0.000 0.000 0.000
S 0.000 0.000 2.380
Cl 0.000 2.403 0.000
Cl 2.403 0.000 0.000
La 2.403 2.403 2.380
```

## Properties
total energy	-5.435	eV per atom
excess energy over the best structure of this formula in the dataset	0	meV per atom
raw formation energy	-0.7194	eV/atom
crystal system	tetragonal



VASP calculation (PBE) on crystalline LaMoSCl2 at its relaxed geometry.

Structure (extended XYZ):
```
5
Lattice="5.515 0.000 0.000 0.000 5.515 0.000 0.000 0.000 5.568" Properties=species:S:1:pos:R:3 pbc="T T T"
Cl 2.757 0.000 0.000
Cl 0.000 2.757 0.000
Mo 2.757 2.757 2.784
La 0.000 0.000 0.000
S 0.000 0.000 2.784
```

## Properties
total energy	-5.192	eV per atom
excess energy over the best structure of this formula in the dataset	243	meV per atom
raw formation energy	-0.4761	eV/atom
crystal system	tetragonal



VASP calculation (PBE) on crystalline La2MoSeCl at its relaxed geometry.

Structure (extended XYZ):
```
5
Lattice="-4.886 -2.609 0.502 1.357 -3.067 -2.729 2.003 -2.926 4.284" Properties=species:S:1:pos:R:3 pbc="T T T"
Cl 0.000 0.000 0.000
La -2.443 -1.304 0.251
La 1.001 -1.463 2.142
Mo 0.679 -1.533 -1.365
Se -0.763 -4.301 1.028
```

## Properties
total energy	-5.559	eV per atom
raw formation energy	-0.3560	eV/atom
crystal system	tetragonal



VASP calculation (PBE) on crystalline LaSnMoCl2 at its relaxed geometry.

Structure (extended XYZ):
```
5
Lattice="-3.185 3.772 2.099 -5.395 -3.935 -1.115 0.599 -2.198 4.857" Properties=species:S:1:pos:R:3 pbc="T T T"
La -2.698 -1.968 -0.558
Cl -1.593 1.886 1.050
Cl 0.300 -1.099 2.429
Sn 0.000 0.000 0.000
Mo -3.991 -1.180 2.921
```

## Properties
total energy	-4.110	eV per atom
raw formation energy	0.5808	eV/atom
crystal system	tetragonal



VASP calculation (PBE) on crystalline La4N2Cl at its relaxed geometry.

Structure (extended XYZ):
```
14
Lattice="7.665 -0.560 0.537 -1.132 7.444 -0.446 -2.638 -3.939 5.871" Properties=species:S:1:pos:R:3 pbc="T T T"
N 2.307 -0.414 4.636
N 3.086 5.206 1.543
N -1.490 -0.193 4.365
N 4.616 0.611 0.327
La 3.855 -2.470 4.623
La 0.668 1.679 4.883
La 2.709 -0.106 2.049
La 6.062 -0.591 2.368
La 4.354 0.981 5.029
La 1.132 3.726 1.012
La 4.634 3.084 1.322
La 0.345 -1.952 4.429
Cl -1.063 2.746 2.799
Cl 0.695 0.836 0.104
```

## Properties
total energy	-6.662	eV per atom
excess energy over the best structure of this formula in the dataset	99	meV per atom
raw formation energy	-1.2035	eV/atom
crystal system	monoclinic



VASP calculation (PBE) on crystalline La4N2Cl5 at its relaxed geometry.

Structure (extended XYZ):
```
11
Lattice="3.785 0.000 0.000 0.000 8.035 -0.739 -1.892 -3.232 8.924" Properties=species:S:1:pos:R:3 pbc="T T T"
N 0.000 0.722 7.864
N 1.892 4.081 0.321
Cl 0.000 6.577 2.273
Cl 1.892 -1.774 5.912
Cl 1.892 0.000 0.000
Cl 0.000 1.985 2.696
Cl 1.892 2.818 5.489
La 0.000 0.507 5.536
La 1.892 4.296 2.649
La 1.892 2.461 8.400
La 0.000 2.341 -0.215
```

## Properties
total energy	-5.997	eV per atom
excess energy over the best structure of this formula in the dataset	138	meV per atom
raw formation energy	-1.8520	eV/atom
crystal system	orthorhombic



VASP calculation (PBE) on crystalline La8N4Cl3 at its relaxed geometry.

Structure (extended XYZ):
```
15
Lattice="0.006 7.154 -3.023 0.508 -6.200 -4.768 -6.613 -2.884 3.063" Properties=species:S:1:pos:R:3 pbc="T T T"
La -1.298 1.371 -1.760
La -1.372 4.876 -3.311
La -4.728 -6.807 -1.416
La -4.960 -0.076 -0.262
La -1.139 -1.855 -4.466
La -1.165 -5.421 -2.929
La -4.802 -3.301 -2.968
La -4.940 -3.663 1.224
N -3.306 -1.442 1.532
N 0.254 -3.100 -2.384
N 0.000 0.000 0.000
N 0.003 3.577 -1.512
Cl -3.050 -0.965 -2.364
Cl -3.303 2.135 0.020
Cl 0.257 0.477 -3.896
```

## Properties
total energy	-6.503	eV per atom
raw formation energy	-1.2859	eV/atom
crystal system	monoclinic



VASP calculation (PBE) on crystalline LaN2Cl2 at its relaxed geometry.

Structure (extended XYZ):
```
10
Lattice="6.072 3.691 -0.084 -6.072 3.691 -0.084 0.000 1.029 6.609" Properties=species:S:1:pos:R:3 pbc="T T T"
N 0.000 5.924 3.289
N 0.000 2.485 3.153
N 0.000 0.257 1.325
N 0.000 8.153 5.117
La -4.206 4.205 3.221
La 4.206 4.205 3.221
Cl -2.493 5.633 1.552
Cl -2.493 2.777 4.890
Cl 2.493 2.777 4.890
Cl 2.493 5.633 1.552
```

## Properties
total energy	-4.683	eV per atom
raw formation energy	0.3715	eV/atom
crystal system	monoclinic



VASP calculation (PBE) on crystalline La3N2Cl at its relaxed geometry.

Structure (extended XYZ):
```
12
Lattice="3.855 0.000 0.000 -1.927 6.740 0.000 0.000 0.000 10.537" Properties=species:S:1:pos:R:3 pbc="T T T"
N 0.000 0.000 0.000
N 1.927 0.505 2.634
N 0.000 6.235 7.903
N 0.000 0.000 5.268
La 1.927 5.885 2.634
La 1.927 1.610 4.615
La 0.000 5.130 5.922
La 1.927 1.610 0.654
La 0.000 0.855 7.903
La 0.000 5.130 9.883
Cl 0.000 3.434 2.634
Cl 1.927 3.306 7.903
```

## Properties
total energy	-6.952	eV per atom
excess energy over the best structure of this formula in the dataset	0	meV per atom
raw formation energy	-1.4050	eV/atom
crystal system	orthorhombic



VASP calculation (PBE) on crystalline La4N2Cl at its relaxed geometry.

Structure (extended XYZ):
```
7
Lattice="0.442 3.580 0.922 0.765 0.935 3.522 14.103 0.512 -1.231" Properties=species:S:1:pos:R:3 pbc="T T T"
Cl 0.000 0.000 0.000
N 4.359 2.752 2.259
N 10.951 2.275 0.954
La 6.129 4.158 3.469
La 12.703 3.682 2.168
La 9.181 0.869 -0.257
La 2.607 1.345 1.045
```

## Properties
total energy	-6.761	eV per atom
excess energy over the best structure of this formula in the dataset	0	meV per atom
raw formation energy	-1.3025	eV/atom
crystal system	trigonal



VASP calculation (PBE) on crystalline LaNCl at its relaxed geometry.

Structure (extended XYZ):
```
18
Lattice="6.559 0.000 0.000 -3.279 5.680 0.000 0.000 0.000 9.198" Properties=species:S:1:pos:R:3 pbc="T T T"
La 0.000 0.000 6.899
La 0.000 0.000 2.300
La 3.279 1.893 4.599
La 3.279 1.893 9.198
La 0.000 3.787 0.000
La 0.000 3.787 4.599
N 2.437 4.222 0.000
N -0.842 1.458 0.000
N 2.437 4.222 4.599
N 1.684 0.000 0.000
N -0.842 1.458 4.599
N 1.684 0.000 4.599
Cl -1.869 3.237 6.899
Cl 1.410 2.443 6.899
Cl 0.458 5.680 6.899
Cl 1.411 2.443 2.300
Cl 4.690 3.237 2.300
Cl 3.738 0.000 2.300
```

## Properties
total energy	-6.138	eV per atom
raw formation energy	-1.1049	eV/atom
crystal system	hexagonal



VASP calculation (PBE) on crystalline La8N6Cl at its relaxed geometry.

Structure (extended XYZ):
```
15
Lattice="-2.026 -2.160 -2.295 8.323 -4.486 -3.126 -4.980 -3.635 7.820" Properties=species:S:1:pos:R:3 pbc="T T T"
La -3.564 -3.150 4.563
La 0.911 -6.942 1.163
La 4.881 -7.131 -2.163
La 1.335 -3.373 -2.571
La -2.069 -5.543 2.447
La 3.386 -4.739 -0.047
La -0.019 -6.908 4.971
La 0.405 -3.340 1.237
Cl -1.013 -1.080 -1.147
N -1.786 -2.871 2.762
N -1.939 -5.244 5.132
N 3.103 -7.411 -0.363
N 0.737 -5.033 -0.513
N 0.580 -5.249 2.912
N 3.256 -5.038 -2.732
```

## Properties
total energy	-7.286	eV per atom
raw formation energy	-1.2047	eV/atom
crystal system	trigonal



VASP calculation (PBE) on crystalline La3NCl3 at its relaxed geometry.

Structure (extended XYZ):
```
14
Lattice="-0.122 -0.484 -7.781 3.434 -5.288 4.586 -7.715 -1.485 1.641" Properties=species:S:1:pos:R:3 pbc="T T T"
La -3.708 -5.247 1.128
La -4.687 -3.924 -2.278
La -0.695 -2.009 -2.681
La 1.585 -5.685 -2.664
La -5.988 -1.571 1.111
La 0.284 -3.332 0.724
N -4.210 -5.761 -1.028
N -0.193 -1.496 -0.526
Cl -1.038 -4.677 -1.519
Cl -3.246 -2.217 -4.409
Cl 2.726 -4.332 2.125
Cl 0.586 -1.440 -5.319
Cl -3.365 -2.579 -0.035
Cl -1.157 -5.039 2.855
```

## Properties
total energy	-5.804	eV per atom
excess energy over the best structure of this formula in the dataset	138	meV per atom
raw formation energy	-1.7117	eV/atom
crystal system	monoclinic